Record 1
Here is a crystal of Tc2B2C relaxed with PBEsol from Alexandria via LeMat-Bulk. Energies are from SCAN.

```
Tc2B2C
1.0
2.7499 0.0000 0.0000
0.0000 2.7499 0.0000
0.0000 0.0000 11.9686
Tc B C
4 4 2
Direct
0.0000 0.0000 0.1049
0.0000 0.0000 0.8951
0.5000 0.5000 0.3951
0.5000 0.5000 0.6049
0.0000 0.5000 0.2500
0.0000 0.5000 0.7500
0.5000 0.0000 0.2500
0.5000 0.0000 0.7500
0.0000 0.0000 0.5000
0.5000 0.5000 0.0000
```

Computed properties:
DOS at the Fermi energy = 2.75 states/eV/f.u.
total magnetization = 0.000 μB per formula unit
electronic total energy = -18.782 eV per atom
energy relative to the elements = 0.234 eV per atom
space-group type = I4/mmm

=====

Record 2
Here is a crystal of TiTc2BC relaxed with PBEsol from Alexandria via LeMat-Bulk. Energies are from SCAN.

```
TiTc2BC
1.0
4.3459 0.0000 0.0000
0.0000 4.3459 0.0000
0.0000 0.0000 2.9810
Ti Tc B C
1 2 1 1
Direct
0.0000 0.0000 0.0000
0.0000 0.5000 0.5000
0.5000 0.0000 0.5000
0.5000 0.5000 0.5000
0.5000 0.5000 0.0000
```

Computed properties:
DOS at the Fermi energy = 2.67 states/eV/f.u.
total magnetization = 0.000 μB per formula unit
electronic total energy = -20.268 eV per atom
energy relative to the elements = 0.468 eV per atom
space-group type = P4/mmm

=====

Record 3
Here is a crystal of BTeC2 relaxed with PBEsol from Alexandria via LeMat-Bulk. Energies are from SCAN.

```
BTeC2
1.0
4.5994 0.0000 0.0000
0.0000 4.5994 0.0000
0.0000 0.0000 8.2869
B Te C
4 4 8
Direct
0.0000 0.0000 0.0000
0.0000 0.5000 0.2500
0.5000 0.0000 0.7500
0.5000 0.5000 0.5000
0.0000 0.0000 0.5000
0.0000 0.5000 0.7500
0.5000 0.0000 0.2500
0.5000 0.5000 0.0000
0.1344 0.7500 0.1250
0.2500 0.1344 0.8750
0.2500 0.3656 0.3750
0.3656 0.7500 0.6250
0.6344 0.2500 0.6250
0.7500 0.6344 0.3750
0.7500 0.8656 0.8750
0.8656 0.2500 0.1250
```

Computed properties:
DOS at the Fermi energy = 1.48 states/eV/f.u.
total magnetization = 0.000 μB per formula unit
electronic total energy = -15.109 eV per atom
space-group type = I-42d

=====

Record 4
Here is a crystal of TlBC3 relaxed with PBEsol from Alexandria via LeMat-Bulk. Energies are from SCAN.

```
TlBC3
1.0
3.6652 0.0000 0.0000
0.0000 3.6652 0.0000
0.0000 0.0000 3.6652
Tl B C
1 1 3
Direct
0.0000 0.0000 0.0000
0.5000 0.5000 0.5000
0.0000 0.5000 0.5000
0.5000 0.0000 0.5000
0.5000 0.5000 0.0000
```

Computed properties:
DOS at the Fermi energy = 2.55 states/eV/f.u.
total magnetization = 0.000 μB per formula unit
electronic total energy = -19.272 eV per atom
energy relative to the elements = 2.745 eV per atom
space-group type = Pm-3m

=====

Record 5
Here is a crystal of TmB2C2 relaxed with PBEsol from Alexandria via LeMat-Bulk. Energies are from SCAN.

```
TmB2C2
1.0
5.3092 0.0000 0.0000
0.0000 5.3092 0.0000
0.0000 0.0000 3.4103
Tm B C
2 4 4
Direct
0.0000 0.0000 0.0000
0.5000 0.5000 0.0000
0.1355 0.3645 0.5000
0.3645 0.8645 0.5000
0.6355 0.1355 0.5000
0.8645 0.6355 0.5000
0.1629 0.6629 0.5000
0.3371 0.1629 0.5000
0.6629 0.8371 0.5000
0.8371 0.3371 0.5000
```

Computed properties:
DOS at the Fermi energy = 0.68 states/eV/f.u.
total magnetization = 0.000 μB per formula unit
electronic total energy = -17.925 eV per atom
energy relative to the elements = -0.547 eV per atom
space-group type = P4/mbm

=====

Record 6
Here is a crystal of BWC3 relaxed with PBEsol from Alexandria via LeMat-Bulk. Energies are from SCAN.

```
BWC3
1.0
3.4062 0.0000 0.0000
0.0000 3.4062 0.0000
0.0000 0.0000 3.4062
B W C
1 1 3
Direct
0.0000 0.0000 0.0000
0.5000 0.5000 0.5000
0.0000 0.0000 0.5000
0.0000 0.5000 0.0000
0.5000 0.0000 0.0000
```

Computed properties:
DOS at the Fermi energy = 2.70 states/eV/f.u.
total magnetization = 0.000 μB per formula unit
electronic total energy = -19.158 eV per atom
energy relative to the elements = 2.325 eV per atom
space-group type = Pm-3m